Density functional theory data (PBE) for an optimized crystal structure of Ba2MgH4.

- DFT total energy: -3.00 eV per atom
- Symmetry: No. 139
- Crystal system: tetragonal

Cell and atoms, written as POSCAR:
```
Ba2MgH4
1.0
3.9907 0.0000 0.0000
0.0000 3.9907 0.0000
1.9954 1.9954 8.4141
Mg H Ba
1 4 2
Direct
0.0000 0.0000 0.0000 Mg
0.8864 0.8864 0.2273 H
0.5000 0.0000 0.0000 H
0.1136 0.1136 0.7727 H
0.0000 0.5000 0.0000 H
0.3647 0.3647 0.2707 Ba
0.6353 0.6353 0.7293 Ba
```